# 1
First-principles (GGA+U) data for a relaxed structure of MoHO3, as listed in the Alexandria database.

Unit cell a=8.0072 b=8.0072 c=3.9636 alpha=85.39 beta=85.39 gamma=28.66
Each line ends with the local moment (μB).
Fractional coordinates of all 10 atoms:
O (0.9670, 0.9220, 0.2647)  -0.01
O (0.0780, 0.0331, 0.7353)  -0.01
O (0.2380, 0.1772, 0.1506)  0.04
O (0.5983, 0.5681, 0.2398)  -0.06
O (0.4319, 0.4017, 0.7602)  -0.06
O (0.8228, 0.7620, 0.8494)  0.04
Mo (0.8795, 0.9552, 0.7791)  1.01
Mo (0.0448, 0.1205, 0.2209)  1.01
H (0.0897, 0.3901, 0.0086)  0.01
H (0.6099, 0.9103, 0.9914)  0.01

Electronic total energy in eV/cell: -64.4


# 2
First-principles (GGA+U) data for a relaxed structure of V2NO, as listed in the Alexandria database.

Unit cell a=3.6747 b=3.6747 c=3.6747 alpha=60.00 beta=60.00 gamma=60.00
Each line ends with the local moment (μB).
Fractional coordinates of all 4 atoms:
V (0.7500, 0.7500, 0.7500)  0.28
V (0.2500, 0.2500, 0.2500)  0.28
N (0.0000, 0.0000, 0.0000)  -0.01
O (0.5000, 0.5000, 0.5000)  0.00

Energy above the lowest structure with this stoichiometry in eV/atom: 0.687
Electronic total energy in eV/cell: -29.1